Record 1
VASP calculation (GGA-PBE) on a geometry-optimized ReHg structure.

Cell and atoms, written as CIF:
```
data_ReHg
_chemical_formula_sum 'Re4 Hg4'
_cell_length_a 8.900
_cell_length_b 8.900
_cell_length_c 2.714
_cell_angle_alpha 90.00
_cell_angle_beta 90.00
_cell_angle_gamma 90.00
_symmetry_space_group_name_H-M 'P 42/m n m'
_symmetry_Int_Tables_number 136
_symmetry_space_group_name_Hall '-P 4n 2n'
loop_
_atom_site_label
_atom_site_type_symbol
_atom_site_fract_x
_atom_site_fract_y
_atom_site_fract_z
Re1 Re 0.092 0.092 0.000
Hg1 Hg 0.209 0.791 0.000
```

Output
The calculation puts the raw total energy at -5.10 eV/atom. For the energy above the lowest structure with this stoichiometry, the calculation gives 886.3 meV per atom. Its energy of formation from the pure elements is 1.28 eV/atom.

---

Record 2
VASP calculation (GGA-PBE) on a geometry-optimized HgB2HPt structure.

Cell and atoms, written as CIF:
```
data_HgB2HPt
_chemical_formula_sum 'Hg1 B2 H1 Pt1'
_cell_length_a 3.992
_cell_length_b 3.992
_cell_length_c 3.679
_cell_angle_alpha 90.00
_cell_angle_beta 90.00
_cell_angle_gamma 90.00
_symmetry_space_group_name_H-M 'P 4/m m m'
_symmetry_Int_Tables_number 123
_symmetry_space_group_name_Hall '-P 4 2'
loop_
_atom_site_label
_atom_site_type_symbol
_atom_site_fract_x
_atom_site_fract_y
_atom_site_fract_z
Hg1 Hg 0.000 0.000 0.000
B1 B 0.000 0.500 0.500
H1 H 0.000 0.000 0.500
Pt1 Pt 0.500 0.500 0.000
```

Output
The calculation puts the raw total energy at -3.10 eV/atom.

---

Record 3
VASP calculation (GGA-PBE) on a geometry-optimized PmY3Ho12 structure.

Cell and atoms, written as CIF:
```
data_PmY3Ho12
_chemical_formula_sum 'Pm1 Y3 Ho12'
_cell_length_a 5.010
_cell_length_b 5.010
_cell_length_c 20.023
_cell_angle_alpha 90.00
_cell_angle_beta 90.00
_cell_angle_gamma 90.00
_symmetry_space_group_name_H-M 'P 4/m m m'
_symmetry_Int_Tables_number 123
_symmetry_space_group_name_Hall '-P 4 2'
loop_
_atom_site_label
_atom_site_type_symbol
_atom_site_fract_x
_atom_site_fract_y
_atom_site_fract_z
Pm1 Pm 0.000 0.000 0.000
Y1 Y 0.000 0.000 0.250
Y2 Y 0.000 0.000 0.500
Ho1 Ho 0.000 0.500 0.126
Ho2 Ho 0.000 0.500 0.375
Ho3 Ho 0.500 0.500 0.000
Ho4 Ho 0.500 0.500 0.251
Ho5 Ho 0.500 0.500 0.500
```

Output
The calculation puts the raw total energy at -4.92 eV/atom. Its energy of formation from the pure elements is 0.02 eV/atom.

---

Record 4
VASP calculation (GGA-PBE) on a geometry-optimized Zn5Rh6Au structure.

Cell and atoms, written as CIF:
```
data_Zn5Rh6Au
_chemical_formula_sum 'Zn10 Rh12 Au2'
_cell_length_a 4.306
_cell_length_b 6.173
_cell_length_c 12.880
_cell_angle_alpha 90.00
_cell_angle_beta 90.00
_cell_angle_gamma 90.00
_symmetry_space_group_name_H-M 'I m m m'
_symmetry_Int_Tables_number 71
_symmetry_space_group_name_Hall '-I 2 2'
loop_
_atom_site_label
_atom_site_type_symbol
_atom_site_fract_x
_atom_site_fract_y
_atom_site_fract_z
Zn1 Zn 0.000 0.000 0.000
Zn2 Zn 0.000 0.000 0.339
Zn3 Zn 0.000 0.500 0.330
Rh1 Rh 0.000 0.242 0.170
Rh2 Rh 0.000 0.267 0.500
Au1 Au 0.000 0.500 0.000
```

Output
The calculation puts the raw total energy at -4.74 eV/atom. Its energy of formation from the pure elements is -0.26 eV/atom.

---

Record 5
VASP calculation (GGA-PBE) on a geometry-optimized LaIn2Re structure.

Cell and atoms, written as CIF:
```
data_LaIn2Re
_chemical_formula_sum 'La2 In4 Re2'
_cell_length_a 3.289
_cell_length_b 4.606
_cell_length_c 13.474
_cell_angle_alpha 90.00
_cell_angle_beta 90.00
_cell_angle_gamma 90.00
_symmetry_space_group_name_H-M 'I m m 2'
_symmetry_Int_Tables_number 44
_symmetry_space_group_name_Hall 'I 2 -2'
loop_
_atom_site_label
_atom_site_type_symbol
_atom_site_fract_x
_atom_site_fract_y
_atom_site_fract_z
La1 La 0.000 0.000 0.000
In1 In 0.000 0.000 0.648
In2 In 0.000 0.500 0.813
Re1 Re 0.000 0.500 0.318
```

Output
The calculation puts the raw total energy at -5.50 eV/atom. For the energy above the lowest structure with this stoichiometry, the calculation gives 28.0 meV per atom. Its energy of formation from the pure elements is 0.21 eV/atom.

---

Record 6
VASP calculation (GGA-PBE) on a geometry-optimized Tb3BiSe structure.

Cell and atoms, written as CIF:
```
data_Tb3BiSe
_chemical_formula_sum 'Tb12 Bi4 Se4'
_cell_length_a 8.786
_cell_length_b 4.196
_cell_length_c 15.248
_cell_angle_alpha 90.00
_cell_angle_beta 90.00
_cell_angle_gamma 90.00
_symmetry_space_group_name_H-M 'P n m a'
_symmetry_Int_Tables_number 62
_symmetry_space_group_name_Hall '-P 2ac 2n'
loop_
_atom_site_label
_atom_site_type_symbol
_atom_site_fract_x
_atom_site_fract_y
_atom_site_fract_z
Tb1 Tb 0.031 0.250 0.113
Tb2 Tb 0.159 0.250 0.524
Tb3 Tb 0.205 0.750 0.278
Bi1 Bi 0.068 0.750 0.677
Se1 Se 0.167 0.250 0.946
```

Output
Its energy relative to the elements, uncorrected is -101.8 kJ/mol of atoms. The calculation puts the raw total energy at -5.31 eV/atom.

---

no.,M_tot (μB per formula unit)
1,0.0
2,0.0
3,0.0
4,0.0
5,0.0
6,0.0